[1]
Below is a relaxed PaInRuAu crystal, with properties calculated at the PBE-GGA level.

Geometry as POSCAR:
```
PaInRuAu
1.0
4.869 0.000 0.000
2.434 4.217 0.000
2.434 1.406 3.975
In Au Ru Pa
1 1 1 1
Direct
0.500 0.500 0.500
0.250 0.250 0.250
0.750 0.750 0.750
0.000 0.000 0.000
```

Calculated values
For the volume, the calculation gives 20.4 Å³/atom. The value obtained for the density is 13.1 g cm⁻³. The energy of formation comes out at -20.40 kJ per mole of atoms. The value obtained for the total magnetic moment is 0.00 μB/cell. For the total energy, the calculation gives -6.4083 eV per atom. Its density of states at the Fermi level is 3.2 states/eV per cell. Its space group is F-43m (216).

***

[2]
Below is a relaxed PaTlInAu crystal, with properties calculated at the PBE-GGA level.

Geometry as POSCAR:
```
PaTlInAu
1.0
-3.314 -2.841 -2.683
-0.507 -4.995 1.023
-4.274 -1.738 2.228
In Pa Tl Au
1 1 1 1
Direct
0.500 0.500 0.500
0.000 0.000 0.000
0.250 0.250 0.250
0.750 0.750 0.750
```

Calculated values
For the volume, the calculation gives 23.8 Å³/atom. The value obtained for the density is 13.0 g cm⁻³. The energy of formation comes out at -4.19 kJ per mole of atoms. The value obtained for the total magnetic moment is 0.00 μB/cell. For the total energy, the calculation gives -4.5129 eV per atom. Its density of states at the Fermi level is 3.2 states/eV per cell. Its space group is F-43m (216).

***

[3]
Below is a relaxed TmPaInAu crystal, with properties calculated at the PBE-GGA level.

Geometry as POSCAR:
```
TmPaInAu
1.0
-2.465 3.221 3.259
-0.248 -1.122 5.075
2.720 2.820 3.424
Tm Pa Au In
1 1 1 1
Direct
0.000 0.000 0.000
0.500 0.500 0.500
0.250 0.250 0.250
0.750 0.750 0.750
```

Calculated values
For the volume, the calculation gives 24.9 Å³/atom. The value obtained for the density is 11.9 g cm⁻³. The energy of formation comes out at -19.76 kJ per mole of atoms. The value obtained for the total magnetic moment is 1.79 μB/cell. For the total energy, the calculation gives -5.2006 eV per atom. Its density of states at the Fermi level is 8.4 states/eV per cell. Its space group is F-43m (216).

***

[4]
Below is a relaxed InPbAu2 crystal, with properties calculated at the PBE-GGA level.

Geometry as POSCAR:
```
InPbAu2
1.0
-2.213 -1.310 2.264
-1.048 -2.273 -2.339
5.611 -5.158 2.499
Au Pb In
2 1 1
Direct
0.500 0.500 0.235
0.000 0.000 0.028
0.500 0.500 0.791
0.000 0.000 0.446
```

Calculated values
For the volume, the calculation gives 23.5 Å³/atom. The value obtained for the density is 12.6 g cm⁻³. The energy of formation comes out at -4.98 kJ per mole of atoms. The value obtained for the total magnetic moment is 0.00 μB/cell. For the total energy, the calculation gives -3.3020 eV per atom. Its density of states at the Fermi level is 1.4 states/eV per cell. Its space group is P4mm (99).

***

[5]
Below is a relaxed InPbAu crystal, with properties calculated at the PBE-GGA level.

Geometry as POSCAR:
```
InPbAu
1.0
4.824 -0.009 0.002
2.406 4.151 0.022
-0.004 2.765 8.106
Pb Au In
2 2 2
Direct
0.979 0.115 0.506
0.230 0.613 0.253
0.362 0.350 0.651
0.847 0.378 0.108
0.732 0.611 0.757
0.477 0.117 0.002
```

Calculated values
For the volume, the calculation gives 27.0 Å³/atom. The value obtained for the density is 10.6 g cm⁻³. The energy of formation comes out at -13.48 kJ per mole of atoms. The value obtained for the total magnetic moment is 0.00 μB/cell. For the total energy, the calculation gives -3.3811 eV per atom. Its density of states at the Fermi level is 2.7 states/eV per cell. Its space group is P-1 (2).

***

[6]
Below is a relaxed InPbAu crystal, with properties calculated at the PBE-GGA level.

Geometry as POSCAR:
```
InPbAu
1.0
-1.016 0.192 -5.278
1.001 -4.720 2.376
-5.958 -0.700 1.121
Au In Pb
2 2 2
Direct
0.000 0.000 0.000
0.000 0.000 0.500
0.667 0.333 0.750
0.333 0.667 0.250
0.333 0.667 0.750
0.667 0.333 0.250
```

Calculated values
For the volume, the calculation gives 25.5 Å³/atom. The value obtained for the density is 11.3 g cm⁻³. The energy of formation comes out at 15.93 kJ per mole of atoms. The value obtained for the total magnetic moment is 0.00 μB/cell. For the total energy, the calculation gives -3.0763 eV per atom. Its density of states at the Fermi level is 2.5 states/eV per cell. Its space group is P6_3/mmc (194).

***

[7]
Below is a relaxed In4Pb2Au9 crystal, with properties calculated at the PBE-GGA level.

Geometry as POSCAR:
```
In4Pb2Au9
1.0
4.705 0.000 0.000
-2.352 4.074 0.000
0.000 0.000 17.787
Au In Pb
9 4 2
Direct
0.000 0.000 0.326
0.333 0.667 0.911
0.000 0.000 0.158
0.000 0.000 0.674
0.333 0.667 0.556
0.667 0.333 0.444
0.000 0.000 0.842
0.000 0.000 0.500
0.667 0.333 0.089
0.667 0.333 0.612
0.667 0.333 0.929
0.333 0.667 0.071
0.333 0.667 0.388
0.667 0.333 0.254
0.333 0.667 0.746
```

Calculated values
For the volume, the calculation gives 22.7 Å³/atom. The value obtained for the density is 12.9 g cm⁻³. The energy of formation comes out at -10.02 kJ per mole of atoms. The value obtained for the total magnetic moment is 0.00 μB/cell. For the total energy, the calculation gives -3.2949 eV per atom. Its density of states at the Fermi level is 5.4 states/eV per cell. Its space group is P-3m1 (164).

***

[8]
Below is a relaxed InPbAu crystal, with properties calculated at the PBE-GGA level.

Geometry as POSCAR:
```
InPbAu
1.0
-1.496 -1.300 3.318
-1.674 -4.690 -2.593
5.719 -5.165 0.555
Pb Au In
2 2 2
Direct
0.373 0.163 0.494
0.373 0.182 0.041
0.373 0.715 0.369
0.873 0.032 0.795
0.873 0.619 0.119
0.873 0.591 0.670
```

Calculated values
For the volume, the calculation gives 26.6 Å³/atom. The value obtained for the density is 10.8 g cm⁻³. The energy of formation comes out at -8.80 kJ per mole of atoms. The value obtained for the total magnetic moment is 0.00 μB/cell. For the total energy, the calculation gives -3.3326 eV per atom. Its density of states at the Fermi level is 2.6 states/eV per cell. Its space group is Pm (6).

***

[9]
Below is a relaxed In3PbAu6 crystal, with properties calculated at the PBE-GGA level.

Geometry as POSCAR:
```
In3PbAu6
1.0
3.408 -0.003 0.000
0.009 12.062 0.000
0.000 0.000 10.409
Au In Pb
12 6 2
Direct
0.500 0.579 0.213
0.000 0.606 0.739
0.500 0.894 0.239
0.500 0.244 0.413
0.500 0.756 0.587
0.000 0.256 0.913
0.000 0.921 0.713
0.000 0.744 0.087
0.000 0.079 0.287
0.000 0.394 0.261
0.500 0.106 0.761
0.500 0.421 0.787
0.000 0.500 0.000
0.000 0.267 0.630
0.500 0.000 0.500
0.500 0.767 0.870
0.500 0.233 0.130
0.000 0.733 0.370
0.000 0.000 0.000
0.500 0.500 0.500
```

Calculated values
For the volume, the calculation gives 21.4 Å³/atom. The value obtained for the density is 13.5 g cm⁻³. The energy of formation comes out at -8.00 kJ per mole of atoms. The value obtained for the total magnetic moment is 0.00 μB/cell. For the total energy, the calculation gives -3.2417 eV per atom. Its density of states at the Fermi level is 9.1 states/eV per cell. Its space group is Pnnm (58).

***

[10]
Below is a relaxed InPbAu crystal, with properties calculated at the PBE-GGA level.

Geometry as POSCAR:
```
InPbAu
1.0
-2.767 -2.981 -0.722
3.476 -5.296 -3.429
3.369 -1.342 4.677
Pb In Au
2 2 2
Direct
0.379 0.334 0.069
0.685 0.771 0.112
0.500 0.627 0.603
0.827 0.066 0.691
0.073 0.374 0.498
0.162 0.014 0.305
```

Calculated values
For the volume, the calculation gives 25.8 Å³/atom. The value obtained for the density is 11.1 g cm⁻³. The energy of formation comes out at -9.48 kJ per mole of atoms. The value obtained for the total magnetic moment is 0.00 μB/cell. For the total energy, the calculation gives -3.3396 eV per atom. Its density of states at the Fermi level is 2.7 states/eV per cell. Its space group is P1 (1).

***

[11]
Below is a relaxed InPbAu crystal, with properties calculated at the PBE-GGA level.

Geometry as POSCAR:
```
InPbAu
1.0
-3.396 0.159 -6.075
-3.099 -2.912 0.122
-2.023 5.388 1.260
In Au Pb
2 2 2
Direct
0.998 0.992 0.403
0.117 0.194 0.921
0.368 0.630 0.047
0.747 0.556 0.277
0.698 0.865 0.857
0.417 0.321 0.468
```

Calculated values
For the volume, the calculation gives 25.4 Å³/atom. The value obtained for the density is 11.3 g cm⁻³. The energy of formation comes out at -11.79 kJ per mole of atoms. The value obtained for the total magnetic moment is 0.00 μB/cell. For the total energy, the calculation gives -3.3636 eV per atom. Its density of states at the Fermi level is 2.9 states/eV per cell. Its space group is P-1 (2).

***

[12]
Below is a relaxed InPbAu crystal, with properties calculated at the PBE-GGA level.

Geometry as POSCAR:
```
InPbAu
1.0
3.625 0.011 0.021
1.736 7.153 0.506
-0.024 0.637 6.140
Au In Pb
2 2 2
Direct
0.503 0.020 0.710
0.309 0.414 0.787
0.863 0.310 0.455
0.949 0.124 0.041
0.115 0.788 0.479
0.697 0.646 0.017
```

Calculated values
For the volume, the calculation gives 26.3 Å³/atom. The value obtained for the density is 10.9 g cm⁻³. The energy of formation comes out at -9.27 kJ per mole of atoms. The value obtained for the total magnetic moment is 0.00 μB/cell. For the total energy, the calculation gives -3.3374 eV per atom. Its density of states at the Fermi level is 2.3 states/eV per cell. Its space group is P-1 (2).